Record 1
A relaxed YTa2Tl crystal. Source: Alexandria, functional PBE.

- formation energy (meV/atom) = 964.8
- DFT total energy (eV/f.u.) = -28.68
- energy relative to the lowest polymorph listed for this composition (eV per atom) = 0.818
- V (Å³/atom) = 24.11
- DOS at the Fermi energy (states/eV/cell) = 9.7

Cell lengths 8.197, 8.197, 5.740 Å; angles 90.00, 90.00, 90.00 degrees
Space group I-42d (No. 122)
Unique sites:
Y1 0.000 0.000 0.000 [4 per cell]
Ta1 0.225 0.250 0.625 [8 per cell]
Tl1 0.000 0.000 0.500 [4 per cell]

***

Record 2
A relaxed Y2TaTl crystal. Source: Alexandria, functional PBE.

- formation energy (meV/atom) = 233.4
- DFT total energy (eV/f.u.) = -26.21
- energy relative to the lowest polymorph listed for this composition (eV per atom) = 0.168
- V (Å³/atom) = 25.82
- DOS at the Fermi energy (states/eV/cell) = 3.8

Cell lengths 3.277, 3.277, 9.618 Å; angles 90.00, 90.00, 90.00 degrees
Space group P4mm (No. 99)
Unique sites:
Y1 0.000 0.000 0.000 [1 per cell]
Y2 0.500 0.500 0.316 [1 per cell]
Ta1 0.000 0.000 0.546 [1 per cell]
Tl1 0.500 0.500 0.762 [1 per cell]

***

Record 3
A relaxed YTa2Tl crystal. Source: Alexandria, functional PBE.

- formation energy (meV/atom) = 765.7
- DFT total energy (eV/f.u.) = -29.47
- energy relative to the lowest polymorph listed for this composition (eV per atom) = 0.618
- V (Å³/atom) = 21.24
- DOS at the Fermi energy (states/eV/cell) = 20.0

Cell lengths 6.978, 6.978, 6.978 Å; angles 90.00, 90.00, 90.00 degrees
Space group Fm-3m (No. 225)
Unique sites:
Y1 0.000 0.000 0.000 [4 per cell]
Ta1 0.250 0.250 0.250 [8 per cell]
Tl1 0.000 0.000 0.500 [4 per cell]

***

Record 4
A relaxed YTa2Tl crystal. Source: Alexandria, functional PBE.

- formation energy (meV/atom) = 416.4
- DFT total energy (eV/f.u.) = -30.87
- energy relative to the lowest polymorph listed for this composition (eV per atom) = 0.269
- V (Å³/atom) = 22.42
- DOS at the Fermi energy (states/eV/cell) = 8.5

Cell lengths 9.858, 3.109, 5.898 Å; angles 90.00, 97.14, 90.00 degrees
Space group Cm (No. 8)
Unique sites:
Y1 0.000 0.000 0.000 [2 per cell]
Ta1 0.233 0.000 0.714 [2 per cell]
Ta2 0.492 0.000 0.528 [2 per cell]
Tl1 0.252 0.500 0.263 [2 per cell]

***

Record 5
A relaxed Y2TaTl crystal. Source: Alexandria, functional PBE.

- formation energy (meV/atom) = 200.0
- DFT total energy (eV/f.u.) = -26.35
- energy relative to the lowest polymorph listed for this composition (eV per atom) = 0.134
- V (Å³/atom) = 25.98
- DOS at the Fermi energy (states/eV/cell) = 9.1

Cell lengths 3.347, 5.480, 11.331 Å; angles 90.00, 90.00, 90.00 degrees
Space group Imm2 (No. 44)
Unique sites:
Y1 0.000 0.000 0.000 [2 per cell]
Y2 0.000 0.500 0.205 [2 per cell]
Ta1 0.000 0.500 0.737 [2 per cell]
Tl1 0.000 0.000 0.451 [2 per cell]

***

Record 6
A relaxed YTa2Tl crystal. Source: Alexandria, functional PBE.

- formation energy (meV/atom) = 398.9
- DFT total energy (eV/f.u.) = -30.94
- energy relative to the lowest polymorph listed for this composition (eV per atom) = 0.252
- V (Å³/atom) = 22.42
- DOS at the Fermi energy (states/eV/cell) = 3.4

Cell lengths 3.138, 5.314, 5.386 Å; angles 90.00, 93.31, 90.00 degrees
Space group P2/m (No. 10)
Unique sites:
Y1 0.000 0.000 0.000 [1 per cell]
Ta1 0.372 0.500 0.757 [2 per cell]
Tl1 0.500 0.000 0.500 [1 per cell]

***

Record 7
A relaxed YTa2Tl crystal. Source: Alexandria, functional PBE.

- formation energy (meV/atom) = 545.4
- DFT total energy (eV/f.u.) = -30.35
- energy relative to the lowest polymorph listed for this composition (eV per atom) = 0.398
- V (Å³/atom) = 21.93
- DOS at the Fermi energy (states/eV/cell) = 9.7

Cell lengths 3.945, 4.554, 9.765 Å; angles 90.00, 90.00, 90.00 degrees
Space group Cmmm (No. 65)
Unique sites:
Y1 0.000 0.000 0.000 [2 per cell]
Ta1 0.000 0.500 0.261 [4 per cell]
Tl1 0.000 0.000 0.500 [2 per cell]

***

Record 8
A relaxed Y2TaTl crystal. Source: Alexandria, functional PBE.

- formation energy (meV/atom) = 369.6
- DFT total energy (eV/f.u.) = -25.67
- energy relative to the lowest polymorph listed for this composition (eV per atom) = 0.304
- V (Å³/atom) = 24.32
- DOS at the Fermi energy (states/eV/cell) = 12.1

Cell lengths 7.301, 7.301, 7.301 Å; angles 90.00, 90.00, 90.00 degrees
Space group F-43m (No. 216)
Unique sites:
Y1 0.000 0.000 0.000 [4 per cell]
Y2 0.250 0.250 0.250 [4 per cell]
Ta1 0.000 0.000 0.500 [4 per cell]
Tl1 0.250 0.250 0.750 [4 per cell]

***

Record 9
A relaxed YTa2Tl crystal. Source: Alexandria, functional PBE.

- formation energy (meV/atom) = 267.4
- DFT total energy (eV/f.u.) = -31.47
- energy relative to the lowest polymorph listed for this composition (eV per atom) = 0.120
- V (Å³/atom) = 22.36
- DOS at the Fermi energy (states/eV/cell) = 9.3

Cell lengths 3.592, 5.086, 9.792 Å; angles 90.00, 90.00, 90.00 degrees
Space group Cmm2 (No. 35)
Unique sites:
Y1 0.000 0.000 0.000 [2 per cell]
Ta1 0.000 0.000 0.532 [2 per cell]
Ta2 0.000 0.500 0.741 [2 per cell]
Tl1 0.000 0.500 0.281 [2 per cell]

***

Record 10
A relaxed YTa2Tl crystal. Source: Alexandria, functional PBE.

- formation energy (meV/atom) = 558.6
- DFT total energy (eV/f.u.) = -30.30
- energy relative to the lowest polymorph listed for this composition (eV per atom) = 0.411
- V (Å³/atom) = 22.47
- DOS at the Fermi energy (states/eV/cell) = 3.6

Cell lengths 3.040, 4.921, 6.007 Å; angles 90.00, 90.00, 90.00 degrees
Space group Pmmm (No. 47)
Unique sites:
Y1 0.000 0.000 0.000 [1 per cell]
Ta1 0.500 0.500 0.236 [2 per cell]
Tl1 0.000 0.000 0.500 [1 per cell]

***

Record 11
A relaxed Y2TaTl crystal. Source: Alexandria, functional PBE.

- formation energy (meV/atom) = 202.1
- DFT total energy (eV/f.u.) = -26.34
- energy relative to the lowest polymorph listed for this composition (eV per atom) = 0.136
- V (Å³/atom) = 24.80
- DOS at the Fermi energy (states/eV/cell) = 8.0

Cell lengths 4.530, 4.530, 9.668 Å; angles 90.00, 90.00, 90.00 degrees
Space group I-4m2 (No. 119)
Unique sites:
Y1 0.000 0.000 0.000 [2 per cell]
Y2 0.000 0.500 0.250 [2 per cell]
Ta1 0.000 0.500 0.750 [2 per cell]
Tl1 0.000 0.000 0.500 [2 per cell]

***

Record 12
A relaxed YTa2Tl crystal. Source: Alexandria, functional PBE.

- formation energy (meV/atom) = 321.3
- DFT total energy (eV/f.u.) = -31.25
- energy relative to the lowest polymorph listed for this composition (eV per atom) = 0.174
- V (Å³/atom) = 22.26
- DOS at the Fermi energy (states/eV/cell) = 4.4

Cell lengths 3.095, 3.095, 9.294 Å; angles 90.00, 90.00, 90.00 degrees
Space group P4mm (No. 99)
Unique sites:
Y1 0.000 0.000 0.000 [1 per cell]
Ta1 0.000 0.000 0.472 [1 per cell]
Ta2 0.500 0.500 0.253 [1 per cell]
Tl1 0.500 0.500 0.719 [1 per cell]

***

Record 13
A relaxed Y2TaTl crystal. Source: Alexandria, functional PBE.

- formation energy (meV/atom) = 195.8
- DFT total energy (eV/f.u.) = -26.36
- energy relative to the lowest polymorph listed for this composition (eV per atom) = 0.130
- V (Å³/atom) = 24.78
- DOS at the Fermi energy (states/eV/cell) = 4.1

Cell lengths 4.717, 4.717, 4.455 Å; angles 90.00, 90.00, 90.00 degrees
Space group P4/mmm (No. 123)
Unique sites:
Y1 0.000 0.500 0.000 [2 per cell]
Ta1 0.000 0.000 0.500 [1 per cell]
Tl1 0.500 0.500 0.500 [1 per cell]

***

Record 14
A relaxed Y2TaTl crystal. Source: Alexandria, functional PBE.

- formation energy (meV/atom) = 608.1
- DFT total energy (eV/f.u.) = -24.71
- energy relative to the lowest polymorph listed for this composition (eV per atom) = 0.542
- V (Å³/atom) = 26.64
- DOS at the Fermi energy (states/eV/cell) = 18.0

Cell lengths 8.277, 8.277, 6.221 Å; angles 90.00, 90.00, 90.00 degrees
Space group I-42d (No. 122)
Unique sites:
Y1 0.247 0.250 0.125 [8 per cell]
Ta1 0.000 0.000 0.000 [4 per cell]
Tl1 0.000 0.000 0.500 [4 per cell]

***

Record 15
A relaxed Y2TaTl crystal. Source: Alexandria, functional PBE.

- formation energy (meV/atom) = 165.8
- DFT total energy (eV/f.u.) = -26.48
- energy relative to the lowest polymorph listed for this composition (eV per atom) = 0.100
- V (Å³/atom) = 25.94
- DOS at the Fermi energy (states/eV/cell) = 15.1

Cell lengths 3.3888, 3.3888, 31.3031 Å; angles 90.00, 90.00, 120.00 degrees
Space group R-3m (No. 166, hexagonal axes)
Unique sites:
Y1 0.0000 0.0000 0.2463 [6 per cell]
Ta1 0.0000 0.0000 0.5000 [3 per cell]
Tl1 0.0000 0.0000 0.0000 [3 per cell]

***

Record 16
A relaxed Y3TaTl crystal. Source: Alexandria, functional PBE.

- formation energy (meV/atom) = 1121.9
- DFT total energy (eV/f.u.) = -28.00
- energy relative to the lowest polymorph listed for this composition (eV per atom) = 0.549
- V (Å³/atom) = 35.41
- DOS at the Fermi energy (states/eV/cell) = 6.1

Cell lengths 5.615, 5.615, 5.615 Å; angles 90.00, 90.00, 90.00 degrees
Space group Pm-3m (No. 221)
Unique sites:
Y1 0.000 0.000 0.500 [3 per cell]
Ta1 0.500 0.500 0.500 [1 per cell]
Tl1 0.000 0.000 0.000 [1 per cell]

***

Record 17
A relaxed YTa2Tl crystal. Source: Alexandria, functional PBE.

- formation energy (meV/atom) = 421.2
- DFT total energy (eV/f.u.) = -30.85
- energy relative to the lowest polymorph listed for this composition (eV per atom) = 0.274
- V (Å³/atom) = 22.08
- DOS at the Fermi energy (states/eV/cell) = 9.6

Cell lengths 3.817, 4.954, 9.341 Å; angles 90.00, 90.00, 90.00 degrees
Space group Imm2 (No. 44)
Unique sites:
Y1 0.000 0.000 0.000 [2 per cell]
Ta1 0.000 0.000 0.533 [2 per cell]
Ta2 0.000 0.500 0.243 [2 per cell]
Tl1 0.000 0.500 0.770 [2 per cell]

***

Record 18
A relaxed Ta4TlZn crystal. Source: Alexandria, functional PBE.

- formation energy (meV/atom) = 606.8
- DFT total energy (eV/f.u.) = -47.41
- V (Å³/atom) = 20.04
- DOS at the Fermi energy (states/eV/cell) = 18.2

Cell lengths 7.835, 7.835, 7.835 Å; angles 90.00, 90.00, 90.00 degrees
Space group F-43m (No. 216)
Unique sites:
Ta1 0.124 0.124 0.376 [16 per cell]
Tl1 0.000 0.000 0.000 [4 per cell]
Zn1 0.250 0.250 0.750 [4 per cell]

***

Record 19
A relaxed ZrTa2Tl crystal. Source: Alexandria, functional PBE.

- formation energy (meV/atom) = 412.0
- DFT total energy (eV/f.u.) = -32.97
- energy relative to the lowest polymorph listed for this composition (eV per atom) = 0.312
- V (Å³/atom) = 20.98
- DOS at the Fermi energy (states/eV/cell) = 12.5

Cell lengths 3.1322, 3.1322, 29.6300 Å; angles 90.00, 90.00, 120.00 degrees
Space group R-3m (No. 166, hexagonal axes)
Unique sites:
Zr1 0.0000 0.0000 0.0000 [3 per cell]
Ta1 0.0000 0.0000 0.2507 [6 per cell]
Tl1 0.0000 0.0000 0.5000 [3 per cell]

***

Record 20
A relaxed ZrTaTl2 crystal. Source: Alexandria, functional PBE.

- formation energy (meV/atom) = 291.4
- DFT total energy (eV/f.u.) = -23.97
- energy relative to the lowest polymorph listed for this composition (eV per atom) = 0.011
- V (Å³/atom) = 21.55
- DOS at the Fermi energy (states/eV/cell) = 2.8

Cell lengths 4.405, 4.405, 8.886 Å; angles 90.00, 90.00, 90.00 degrees
Space group I4/mmm (No. 139)
Unique sites:
Zr1 0.000 0.000 0.000 [2 per cell]
Ta1 0.000 0.000 0.500 [2 per cell]
Tl1 0.000 0.500 0.250 [4 per cell]